{
  "formula": "P2IrRh",
  "functional": "PBE-GGA",
  "state": "optimized geometry",
  "lattice_angstrom": [[7.440, 0.013, 0.008], [6.805, 3.007, 0.008], [6.805, 1.443, 2.638]],
  "species": ["P", "P", "Ir", "Rh"],
  "fractional_positions": [[0.001, 0.001, 0.001], [0.247, 0.247, 0.247], [0.737, 0.737, 0.737], [0.514, 0.514, 0.514]],
  "de_polymorph_mev_per_atom": 262,
  "vol_a3_per_cell": 58.6,
  "e_form_ev_per_atom": -0.1969,
  "sg": "No. 160",
  "total_energy_ev_per_atom": -6.955
}

{
  "formula": "P2IrRh",
  "functional": "PBE-GGA",
  "state": "optimized geometry",
  "lattice_angstrom": [[0.000, 3.006, 3.006], [3.006, 0.000, 3.006], [3.006, 3.006, 0.000]],
  "species": ["Rh", "P", "P", "Ir"],
  "fractional_positions": [[0.000, 0.000, 0.000], [0.250, 0.250, 0.250], [0.750, 0.750, 0.750], [0.500, 0.500, 0.500]],
  "de_polymorph_mev_per_atom": 447,
  "vol_a3_per_cell": 54.3,
  "e_form_ev_per_atom": -0.0121,
  "sg": "No. 225",
  "total_energy_ev_per_atom": -6.770
}

{
  "formula": "P2IrRh",
  "functional": "PBE-GGA",
  "state": "optimized geometry",
  "lattice_angstrom": [[5.055, 0.000, 0.000], [2.572, 4.352, 0.000], [-3.813, -2.176, 2.505]],
  "species": ["P", "P", "Rh", "Ir"],
  "fractional_positions": [[0.250, 0.750, 0.500], [0.000, 0.000, 0.000], [0.500, 0.500, 0.000], [0.750, 0.250, 0.500]],
  "de_polymorph_mev_per_atom": 527,
  "vol_a3_per_cell": 55.1,
  "e_form_ev_per_atom": 0.0675,
  "sg": "No. 119",
  "total_energy_ev_per_atom": -6.691
}